Entry 1:
DFT (GGA-PBE) results for a geometry-optimized IrRhPbO6 structure.

Unit cell a=7.036 b=7.137 c=10.291 alpha=90.00 beta=90.00 gamma=90.00
Space group Imma (No. 74)
Unique sites:
Ir: 0.000 0.000 0.000 (multiplicity 4)
Rh: 0.250 0.250 0.250 (multiplicity 4)
Pb: 0.000 0.250 0.550 (multiplicity 4)
O: 0.000 0.250 0.324 (multiplicity 4)
O: 0.000 0.250 0.930 (multiplicity 4)
O: 0.211 0.052 0.117 (multiplicity 16)

energy relative to the elements, uncorrected: -0.678 eV per atom
total moment: 0.0 μB per formula unit
final energy: -223.1 eV per cell

Entry 2:
DFT (GGA-PBE) results for a geometry-optimized FeNiOs2 structure.

Unit cell a=2.760 b=4.481 c=8.693 alpha=90.00 beta=90.00 gamma=90.00
Space group Cmm2 (No. 35)
Unique sites:
Fe: 0.000 0.000 0.000 (multiplicity 2)
Ni: 0.000 0.500 0.230 (multiplicity 2)
Os: 0.000 0.000 0.482 (multiplicity 2)
Os: 0.000 0.500 0.749 (multiplicity 2)

total moment: 3.6 μB per formula unit
final energy: -70.1 eV per cell
formation enthalpy at 0 K: 417 meV/atom

Entry 3:
DFT (GGA-PBE) results for a geometry-optimized KSnB structure.

Unit cell a=7.811 b=10.882 c=7.582 alpha=90.00 beta=90.00 gamma=90.00
Space group Fmm2 (No. 42)
Unique sites:
K: 0.000 0.210 0.000 (multiplicity 8)
Sn: 0.184 0.000 0.671 (multiplicity 8)
B: 0.106 0.000 0.371 (multiplicity 8)

total moment: 0.0 μB per formula unit
final energy: -87.8 eV per cell
formation enthalpy at 0 K: 269 meV/atom

Entry 4:
DFT (GGA-PBE) results for a geometry-optimized Ca2ScPb structure.

Unit cell a=8.931 b=8.931 c=6.504 alpha=90.00 beta=90.00 gamma=90.00
Space group I-42d (No. 122)
Unique sites:
Ca: 0.225 0.750 0.125 (multiplicity 8)
Sc: 0.000 0.000 0.500 (multiplicity 4)
Pb: 0.000 0.000 0.000 (multiplicity 4)

total moment: 0.0 μB per formula unit
final energy: -54.2 eV per cell
formation enthalpy at 0 K: 123 meV/atom

Entry 5:
DFT (GGA-PBE) results for a geometry-optimized RbRuRh2 structure.

Unit cell a=7.607 b=7.607 c=6.838 alpha=90.00 beta=90.00 gamma=90.00
Space group I-42d (No. 122)
Unique sites:
Rb: 0.000 0.000 0.000 (multiplicity 4)
Ru: 0.000 0.000 0.500 (multiplicity 4)
Rh: 0.149 0.750 0.625 (multiplicity 8)

total moment: 0.0 μB per formula unit
final energy: -81.8 eV per cell
formation enthalpy at 0 K: 1122 meV/atom

Entry 6:
DFT (GGA-PBE) results for a geometry-optimized Na2LiSn2 structure.

Unit cell a=12.335 b=5.624 c=7.974 alpha=90.00 beta=111.58 gamma=90.00
Space group C2/c (No. 15)
Unique sites:
Na: 0.196 0.139 0.151 (multiplicity 8)
Li: 0.000 0.184 0.750 (multiplicity 4)
Sn: 0.080 0.344 0.447 (multiplicity 8)

total moment: 0.0 μB per formula unit
final energy: -54.2 eV per cell
formation enthalpy at 0 K: -200 meV/atom